#w
Crystalline DyNbMo at its relaxed geometry, computed with PBE.

```
data_DyNbMo
_cell_length_a 4.5786
_cell_length_b 4.5786
_cell_length_c 4.5786
_cell_angle_alpha 60.00
_cell_angle_beta 60.00
_cell_angle_gamma 60.00
_space_group_name_H-M_alt 'P 1'
_space_group_IT_number 1
_space_group_name_Hall 'P 1'
loop_
_atom_site_label
_atom_site_type_symbol
_atom_site_fract_x
_atom_site_fract_y
_atom_site_fract_z
_atom_site_occupancy
Mo1 Mo 0.2500 0.2500 0.2500 1
Nb1 Nb 0.7500 0.7500 0.7500 1
Dy1 Dy 0.0000 0.0000 0.0000 1
```

***

#x
Crystalline DyNbMo at its relaxed geometry, computed with PBE.

```
data_DyNbMo
_cell_length_a 4.5864
_cell_length_b 4.5864
_cell_length_c 4.5864
_cell_angle_alpha 60.00
_cell_angle_beta 60.00
_cell_angle_gamma 60.00
_space_group_name_H-M_alt 'P 1'
_space_group_IT_number 1
_space_group_name_Hall 'P 1'
loop_
_atom_site_label
_atom_site_type_symbol
_atom_site_fract_x
_atom_site_fract_y
_atom_site_fract_z
_atom_site_occupancy
Mo1 Mo 0.7500 0.7500 0.7500 1
Nb1 Nb 0.0000 0.0000 0.0000 1
Dy1 Dy 0.2500 0.2500 0.2500 1
```

***

Energy comparison, zero being the most stable, in kJ/mol of atoms: #w 73.6; #x 0.0.

***

#w
Crystalline DyTeMo at its relaxed geometry, computed with PBE.

```
data_DyTeMo
_cell_length_a 4.6913
_cell_length_b 4.6913
_cell_length_c 4.6913
_cell_angle_alpha 60.00
_cell_angle_beta 60.00
_cell_angle_gamma 60.00
_space_group_name_H-M_alt 'P 1'
_space_group_IT_number 1
_space_group_name_Hall 'P 1'
loop_
_atom_site_label
_atom_site_type_symbol
_atom_site_fract_x
_atom_site_fract_y
_atom_site_fract_z
_atom_site_occupancy
Dy1 Dy 0.2500 0.2500 0.2500 1
Mo1 Mo 0.0000 0.0000 0.0000 1
Te1 Te 0.7500 0.7500 0.7500 1
```

***

#x
Crystalline DyTeMo at its relaxed geometry, computed with PBE.

```
data_DyTeMo
_cell_length_a 4.9443
_cell_length_b 4.9443
_cell_length_c 4.9443
_cell_angle_alpha 60.00
_cell_angle_beta 60.00
_cell_angle_gamma 60.00
_space_group_name_H-M_alt 'P 1'
_space_group_IT_number 1
_space_group_name_Hall 'P 1'
loop_
_atom_site_label
_atom_site_type_symbol
_atom_site_fract_x
_atom_site_fract_y
_atom_site_fract_z
_atom_site_occupancy
Mo1 Mo 0.2500 0.2500 0.2500 1
Te1 Te 0.7500 0.7500 0.7500 1
Dy1 Dy 0.0000 0.0000 0.0000 1
```

***

Energy comparison, zero being the most stable, in kJ/mol of atoms: #w 0.0; #x 55.6.

***

#w
Crystalline NaDyNO at its relaxed geometry, computed with PBE.

```
data_NaDyNO
_cell_length_a 4.8645
_cell_length_b 4.8645
_cell_length_c 4.5975
_cell_angle_alpha 90.00
_cell_angle_beta 90.00
_cell_angle_gamma 90.00
_space_group_name_H-M_alt 'P 1'
_space_group_IT_number 1
_space_group_name_Hall 'P 1'
loop_
_atom_site_label
_atom_site_type_symbol
_atom_site_fract_x
_atom_site_fract_y
_atom_site_fract_z
_atom_site_occupancy
O1 O 0.2500 0.7500 0.0000 1
O2 O 0.7500 0.2500 0.0000 1
Dy1 Dy 0.7500 0.2500 0.5000 1
Dy2 Dy 0.2500 0.7500 0.5000 1
N1 N 0.7500 0.7500 0.5007 1
N2 N 0.2500 0.2500 0.4993 1
Na1 Na 0.2500 0.2500 0.9995 1
Na2 Na 0.7500 0.7500 0.0005 1
```

***

#x
Crystalline NaDyNO at its relaxed geometry, computed with PBE.

```
data_NaDyNO
_cell_length_a 3.7710
_cell_length_b 3.7710
_cell_length_c 8.1509
_cell_angle_alpha 90.00
_cell_angle_beta 90.00
_cell_angle_gamma 90.00
_space_group_name_H-M_alt 'P 1'
_space_group_IT_number 1
_space_group_name_Hall 'P 1'
loop_
_atom_site_label
_atom_site_type_symbol
_atom_site_fract_x
_atom_site_fract_y
_atom_site_fract_z
_atom_site_occupancy
Dy1 Dy 0.7500 0.7500 0.8584 1
Dy2 Dy 0.2500 0.2500 0.1416 1
N1 N 0.2500 0.2500 0.6859 1
N2 N 0.7500 0.7500 0.3141 1
Na1 Na 0.7500 0.2500 0.5000 1
Na2 Na 0.2500 0.7500 0.5000 1
O1 O 0.7500 0.2500 0.0000 1
O2 O 0.2500 0.7500 0.0000 1
```

***

Energy comparison, zero being the most stable, in kJ/mol of atoms: #w 0.0; #x 23.9.